Entry 1:
Ca2ZnIr | SCAN | single point on PBEsol structure

Geometry as POSCAR:
```
Ca2ZnIr
1.0
3.409 0.000 0.000
0.000 3.409 0.000
0.000 0.000 7.258
Ca Zn Ir
2 1 1
Direct
0.000 0.000 0.225 Ca
0.000 0.000 0.775 Ca
0.500 0.500 0.500 Zn
0.500 0.500 0.000 Ir
```

## Properties
Energy of formation from the pure elements ... -0.251 eV per atom

Entry 2:
CdPW2 | SCAN | single point on PBEsol structure

Geometry as POSCAR:
```
CdPW2
1.0
3.061 0.000 0.000
0.000 4.682 0.000
0.000 0.000 8.819
Cd P W
2 2 4
Direct
0.000 0.000 0.000 Cd
0.500 0.500 0.500 Cd
0.000 0.000 0.500 P
0.500 0.500 0.000 P
0.000 0.500 0.210 W
0.000 0.500 0.790 W
0.500 0.000 0.290 W
0.500 0.000 0.710 W
```

## Properties
Energy of formation from the pure elements ... 0.499 eV per atom

Entry 3:
MnSb2TeAu | SCAN | single point on PBEsol structure

Geometry as POSCAR:
```
MnSb2TeAu
1.0
4.891 0.000 0.000
0.000 4.891 0.000
0.000 0.000 4.985
Mn Sb Te Au
1 2 1 1
Direct
0.000 0.000 0.000 Mn
0.000 0.500 0.000 Sb
0.500 0.000 0.000 Sb
0.000 0.000 0.500 Te
0.500 0.500 0.500 Au
```

## Properties
Formation energy without anion corrections ... 0.4699 eV per atom

Entry 4:
ZrZn | SCAN | single point on PBEsol structure

Geometry as POSCAR:
```
ZrZn
1.0
5.408 0.000 0.000
0.000 5.408 0.000
0.000 0.000 5.408
Zr Zn
4 4
Direct
0.000 0.000 0.000 Zr
0.000 0.500 0.500 Zr
0.500 0.000 0.500 Zr
0.500 0.500 0.000 Zr
0.000 0.000 0.500 Zn
0.000 0.500 0.000 Zn
0.500 0.000 0.000 Zn
0.500 0.500 0.500 Zn
```

## Properties
Energy of formation from the pure elements ... 0.048 eV per atom

Entry 5:
La2MnRh | SCAN | single point on PBEsol structure

Geometry as POSCAR:
```
La2MnRh
1.0
4.174 0.000 0.000
-2.087 3.614 0.000
0.000 0.000 20.170
La Mn Rh
6 3 3
Direct
0.000 0.000 0.000 La
0.000 0.000 0.188 La
0.333 0.667 0.667 La
0.333 0.667 0.855 La
0.667 0.333 0.333 La
0.667 0.333 0.521 La
0.000 0.000 0.423 Mn
0.333 0.667 0.090 Mn
0.667 0.333 0.756 Mn
0.000 0.000 0.765 Rh
0.333 0.667 0.432 Rh
0.667 0.333 0.098 Rh
```

## Properties
Energy of formation from the pure elements ... -0.334 eV per atom

Entry 6:
SrY3Ir | SCAN | single point on PBEsol structure

Geometry as POSCAR:
```
SrY3Ir
1.0
9.083 0.000 0.000
0.000 3.750 0.000
-2.199 0.000 8.824
Sr Y Ir
2 6 2
Direct
0.195 0.250 0.025 Sr
0.805 0.750 0.975 Sr
0.022 0.750 0.658 Y
0.341 0.750 0.406 Y
0.411 0.750 0.791 Y
0.589 0.250 0.209 Y
0.659 0.250 0.594 Y
0.978 0.250 0.342 Y
0.235 0.250 0.591 Ir
0.765 0.750 0.409 Ir
```

## Properties
Energy of formation from the pure elements ... -0.462 eV per atom

Entry 7:
Li3CuS2 | SCAN | single point on PBEsol structure

Geometry as POSCAR:
```
Li3CuS2
1.0
3.705 0.000 0.000
0.000 3.705 0.000
0.000 0.000 11.965
Li Cu S
6 2 4
Direct
0.250 0.250 0.075 Li
0.250 0.250 0.575 Li
0.250 0.750 0.250 Li
0.750 0.250 0.750 Li
0.750 0.750 0.425 Li
0.750 0.750 0.925 Li
0.250 0.750 0.750 Cu
0.750 0.250 0.250 Cu
0.250 0.250 0.372 S
0.250 0.250 0.872 S
0.750 0.750 0.128 S
0.750 0.750 0.628 S
```

## Properties
Formation energy without anion corrections ... -1.1390 eV per atom

Entry 8:
ScCo4Ru | SCAN | single point on PBEsol structure

Geometry as POSCAR:
```
ScCo4Ru
1.0
0.000 3.330 3.330
3.330 0.000 3.330
3.330 3.330 0.000
Sc Co Ru
1 4 1
Direct
0.000 0.000 0.000 Sc
0.375 0.375 0.375 Co
0.375 0.375 0.876 Co
0.375 0.876 0.375 Co
0.876 0.375 0.375 Co
0.750 0.750 0.750 Ru
```

## Properties
Energy of formation from the pure elements ... -0.123 eV per atom

Entry 9:
La2CdHg | SCAN | single point on PBEsol structure

Geometry as POSCAR:
```
La2CdHg
1.0
7.687 0.000 0.000
0.000 7.687 0.000
0.000 0.000 7.687
La Cd Hg
8 4 4
Direct
0.250 0.250 0.250 La
0.250 0.250 0.750 La
0.250 0.750 0.250 La
0.250 0.750 0.750 La
0.750 0.250 0.250 La
0.750 0.250 0.750 La
0.750 0.750 0.250 La
0.750 0.750 0.750 La
0.000 0.000 0.000 Cd
0.000 0.500 0.500 Cd
0.500 0.000 0.500 Cd
0.500 0.500 0.000 Cd
0.000 0.000 0.500 Hg
0.000 0.500 0.000 Hg
0.500 0.000 0.000 Hg
0.500 0.500 0.500 Hg
```

## Properties
Energy of formation from the pure elements ... -0.564 eV per atom

Entry 10:
ScAl2Cd | SCAN | single point on PBEsol structure

Geometry as POSCAR:
```
ScAl2Cd
1.0
4.195 0.000 0.000
0.000 4.195 0.000
0.000 0.000 4.118
Sc Al Cd
1 2 1
Direct
0.000 0.000 0.000 Sc
0.000 0.500 0.500 Al
0.500 0.000 0.500 Al
0.500 0.500 0.000 Cd
```

## Properties
Energy of formation from the pure elements ... -0.394 eV per atom

Entry 11:
TaTcAg2 | SCAN | single point on PBEsol structure

Geometry as POSCAR:
```
TaTcAg2
1.0
3.324 0.000 0.000
0.000 4.142 0.000
0.000 0.000 9.276
Ta Tc Ag
2 2 4
Direct
0.000 0.000 0.000 Ta
0.500 0.500 0.000 Ta
0.000 0.000 0.500 Tc
0.500 0.500 0.500 Tc
0.000 0.500 0.254 Ag
0.000 0.500 0.746 Ag
0.500 0.000 0.254 Ag
0.500 0.000 0.746 Ag
```

## Properties
Energy of formation from the pure elements ... 0.485 eV per atom

Entry 12:
LiTi3Mn | SCAN | single point on PBEsol structure

Geometry as POSCAR:
```
LiTi3Mn
1.0
4.325 0.000 0.000
0.000 4.325 0.000
0.000 0.000 4.325
Li Ti Mn
1 3 1
Direct
0.000 0.000 0.000 Li
0.000 0.000 0.500 Ti
0.000 0.500 0.000 Ti
0.500 0.000 0.000 Ti
0.500 0.500 0.500 Mn
```

## Properties
Energy of formation from the pure elements ... 0.894 eV per atom

Size of the total moment (computed, μB/cell): 0.0, 0.0, 2.5, 0.0, 6.5, 0.0, 0.0, 7.8, 2.5, 0.0, 0.0, 4.1